1.
DFT (PBE) results for an optimized crystal structure of ScTa2Os.

## Properties
Total magnetic moment: 0.04 μB per formula unit
DFT formation energy: -71 meV per atom

```
ScTa2Os
1.0
3.0067 1.7366 3.0284
4.5102 -0.7807 -0.5255
2.8027 3.4370 -1.2488
Os Sc Ta
1 1 2
Direct
0.2500 0.2500 0.2500
0.0000 0.0000 0.0000
0.5000 0.5000 0.5000
0.7500 0.7500 0.7500
```



2.
DFT (PBE) results for an optimized crystal structure of HgAsW.

## Properties
Total magnetic moment: 0.04 μB per formula unit
Energy above the most stable polymorph in this dataset: 148 meV per atom

```
HgAsW
1.0
-2.6868 -3.4723 0.1091
-2.7523 -0.5415 3.3793
-4.3193 0.5468 -0.5764
As Hg W
1 1 1
Direct
0.0000 0.0000 0.0000
0.2500 0.2500 0.2500
0.7500 0.7500 0.7500
```



3.
DFT (PBE) results for an optimized crystal structure of LaDyTl2.

## Properties
Total magnetic moment: 0.01 μB per formula unit
E: -3.95 eV per atom

```
LaDyTl2
1.0
3.8381 0.0000 0.0000
0.0000 3.8381 0.0000
0.0000 0.0000 7.8848
Dy La Tl
1 1 2
Direct
0.5000 0.5000 0.0000
0.5000 0.5000 0.5000
0.0000 0.0000 0.2315
0.0000 0.0000 0.7685
```



4.
DFT (PBE) results for an optimized crystal structure of Ta4GaGeN2.

## Properties
Total magnetic moment: 0.01 μB per formula unit
E: -9.51 eV per atom

```
Ta4GaGeN2
1.0
3.0057 0.0000 0.0000
-1.5029 2.6030 0.0000
0.0000 0.0000 14.1301
Ga Ge N Ta
1 1 2 4
Direct
0.0000 0.0000 0.0000
0.6667 0.3333 0.5000
0.3333 0.6667 0.2517
0.3333 0.6667 0.7483
0.6667 0.3333 0.1553
0.0000 0.0000 0.3481
0.0000 0.0000 0.6519
0.6667 0.3333 0.8447
```